LiFePCO7 | PBE with a Hubbard U | relaxed

## Properties
Space group   No. 1
Uncorrected energy   -6.850 eV per atom
Distance to the lowest polymorph of the same formula   10 kJ/mol of formula units
M_tot   9.97 μB/cell

Structure (POSCAR):
```
LiFePCO7
1.0
-3.4502 -2.4920 2.8268
4.2889 -3.8392 2.4999
2.0343 5.4013 6.7500
O Li C Fe P
14 2 2 2 2
Direct
0.6308 0.9245 0.7843
0.7632 0.8561 0.0295
0.1369 0.4272 0.1062
0.7049 0.8946 0.4358
0.5642 0.3777 0.0867
0.5246 0.3177 0.5220
0.9332 0.4351 0.3875
0.2973 0.0663 0.3032
0.2624 0.8071 0.5394
0.8403 0.5490 0.6508
0.4105 0.6673 0.2944
0.0425 0.8353 0.8423
0.9818 0.1693 0.6178
0.3080 0.3343 0.8897
0.7784 0.5964 0.1780
0.3442 0.1678 0.7154
0.8087 0.8732 0.8910
0.3329 0.3807 0.0250
0.2929 0.3689 0.3350
0.9167 0.8508 0.6177
0.4134 0.8601 0.3941
0.8181 0.3694 0.5461
```